Entry 1:
ScAgB3 | PBE-GGA | relaxed

Geometry as POSCAR:
```
ScAgB3
1.0
4.383 0.000 0.000
0.000 4.383 0.000
0.000 0.000 4.383
B Sc Ag
3 1 1
direct
0.500 0.000 0.000
0.000 0.500 0.000
0.000 0.000 0.500
0.000 0.000 0.000
0.500 0.500 0.500
```

Space group   Pm-3m
Formation enthalpy at 0 K   2.04 eV/atom
Density   3.65 g cm⁻³



Entry 2:
BaTeAu | PBE-GGA | relaxed

Geometry as POSCAR:
```
BaTeAu
1.0
-1.242 0.327 -4.821
-2.526 -3.059 3.024
-2.915 3.376 0.980
Ba Te Au
1 1 1
direct
0.667 0.333 0.333
0.333 0.667 0.833
0.000 0.000 0.834
```

Space group   P3m1
Energy relative to the elements, uncorrected   -0.9063 eV/atom
Density   7.79 g cm⁻³



Entry 3:
MgCdBi | PBE-GGA | relaxed

Geometry as POSCAR:
```
MgCdBi
1.0
4.291 -0.043 0.612
0.142 5.220 -0.279
1.087 -0.323 7.192
Cd Bi Mg
2 2 2
direct
0.443 0.429 0.623
0.563 0.915 0.380
0.763 0.409 0.977
0.242 0.920 0.027
0.915 0.905 0.681
0.091 0.431 0.323
```

Space group   P1
Formation enthalpy at 0 K   -0.02 eV/atom
Density   7.30 g cm⁻³



Entry 4:
Na2InTe | PBE-GGA | relaxed

Geometry as POSCAR:
```
Na2InTe
1.0
-0.943 -0.305 4.948
0.290 -5.031 -0.255
9.839 -2.182 4.314
Na Te In
4 2 2
direct
0.875 0.894 0.750
0.375 0.356 0.750
0.106 0.625 0.250
0.644 0.125 0.250
0.000 0.000 0.000
0.750 0.250 0.500
0.250 0.750 0.500
0.500 0.500 0.000
```

Space group   I-42d
Energy relative to the elements, uncorrected   -0.2892 eV/atom
Density   3.63 g cm⁻³



Entry 5:
MgBr | PBE-GGA | relaxed

Geometry as POSCAR:
```
MgBr
1.0
13.114 0.000 0.000
0.000 4.040 0.000
0.000 0.000 9.558
Br Mg
8 8
direct
0.668 0.750 0.256
0.570 0.750 0.838
0.070 0.750 0.662
0.930 0.250 0.338
0.332 0.250 0.744
0.832 0.250 0.756
0.168 0.750 0.244
0.430 0.250 0.162
0.062 0.250 0.105
0.438 0.750 0.605
0.361 0.750 0.315
0.562 0.250 0.395
0.139 0.250 0.815
0.639 0.250 0.685
0.938 0.750 0.895
0.861 0.750 0.185
```

Space group   Pnma
Energy relative to the elements, uncorrected   -0.9148 eV/atom
Density   2.73 g cm⁻³



Entry 6:
AlV2H | PBE-GGA | relaxed

Geometry as POSCAR:
```
AlV2H
1.0
-0.658 -4.768 -2.034
1.479 -2.138 4.533
-3.127 -3.456 2.402
H V Al
2 4 2
direct
0.500 0.500 0.000
0.250 0.750 0.500
0.875 0.625 0.750
0.375 0.625 0.750
0.375 0.625 0.250
0.375 0.125 0.250
0.000 0.000 0.000
0.750 0.250 0.500
```

Electronic total energy   -6.15 eV/atom
Space group   I4_1/amd
Density   4.25 g cm⁻³